[1]
The following is a GGA-PBE calculation of an optimized crystal structure of Gd2ErU, from the Alexandria database.

Formation energy from the elements, eV per formula unit: 1.09
Crystal system: trigonal
Fermi-level density of states, states/eV/cell: 30.0

Cell: 3.399 3.399 34.432 Å, 90.00 90.00 120.00°
Positions (direct):
Gd: 0.000 0.000 0.246
Gd: 0.000 0.000 0.754
Gd: 0.333 0.667 0.421
Gd: 0.333 0.667 0.913
Gd: 0.667 0.333 0.087
Gd: 0.667 0.333 0.579
Er: 0.000 0.000 0.000
Er: 0.333 0.667 0.667
Er: 0.667 0.333 0.333
U: 0.000 0.000 0.500
U: 0.333 0.667 0.167
U: 0.667 0.333 0.833


[2]
The following is a GGA-PBE calculation of an optimized crystal structure of Dy3Tm2Mg8, from the Alexandria database.

Formation energy from the elements, eV per formula unit: 1.72
Crystal system: trigonal
Fermi-level density of states, states/eV/cell: 14.0

Cell: 12.736 12.736 12.736 Å, 26.41 26.41 26.41°
Positions (direct):
Dy: 0.000 0.000 0.000
Dy: 0.183 0.183 0.183
Dy: 0.817 0.817 0.817
Tm: 0.360 0.360 0.360
Tm: 0.640 0.640 0.640
Mg: 0.230 0.731 0.731
Mg: 0.269 0.269 0.770
Mg: 0.269 0.770 0.269
Mg: 0.275 0.275 0.275
Mg: 0.725 0.725 0.725
Mg: 0.731 0.230 0.731
Mg: 0.731 0.731 0.230
Mg: 0.770 0.269 0.269


[3]
The following is a GGA-PBE calculation of an optimized crystal structure of Pr2Tm3Cu2, from the Alexandria database.

Formation energy from the elements, eV per formula unit: -0.80
Crystal system: orthorhombic
Fermi-level density of states, states/eV/cell: 13.8

Cell: 4.553 21.749 3.739 Å, 90.00 90.00 90.00°
Positions (direct):
Pr: 0.000 0.084 0.000
Pr: 0.000 0.916 0.000
Pr: 0.500 0.416 0.000
Pr: 0.500 0.584 0.000
Tm: 0.000 0.316 0.500
Tm: 0.000 0.500 0.500
Tm: 0.000 0.684 0.500
Tm: 0.500 0.000 0.500
Tm: 0.500 0.184 0.500
Tm: 0.500 0.816 0.500
Cu: 0.000 0.220 0.000
Cu: 0.000 0.780 0.000
Cu: 0.500 0.280 0.000
Cu: 0.500 0.720 0.000


[4]
The following is a GGA-PBE calculation of an optimized crystal structure of TeH2Ru, from the Alexandria database.

Crystal system: cubic
Energy above the most stable polymorph in this dataset, kJ/mol of formula units: 224
Fermi-level density of states, states/eV/cell: 15.3

Cell: 5.658 5.658 5.658 Å, 90.00 90.00 90.00°
Positions (direct):
Te: 0.000 0.000 0.000
Te: 0.000 0.500 0.500
Te: 0.500 0.000 0.500
Te: 0.500 0.500 0.000
H: 0.250 0.250 0.250
H: 0.250 0.250 0.750
H: 0.250 0.750 0.250
H: 0.250 0.750 0.750
H: 0.750 0.250 0.250
H: 0.750 0.250 0.750
H: 0.750 0.750 0.250
H: 0.750 0.750 0.750
Ru: 0.000 0.000 0.500
Ru: 0.000 0.500 0.000
Ru: 0.500 0.000 0.000
Ru: 0.500 0.500 0.500


[5]
The following is a GGA-PBE calculation of an optimized crystal structure of Na5SnPb6, from the Alexandria database.

Formation energy from the elements, eV per formula unit: -1.49
Crystal system: orthorhombic
Fermi-level density of states, states/eV/cell: 5.6

Cell: 7.490 7.490 9.983 Å, 90.00 90.00 141.84°
Positions (direct):
Na: 0.000 0.000 0.000
Na: 0.333 0.667 0.000
Na: 0.337 0.663 0.500
Na: 0.663 0.337 0.500
Na: 0.667 0.333 0.000
Sn: 0.000 0.000 0.500
Pb: 0.166 0.834 0.251
Pb: 0.166 0.834 0.749
Pb: 0.500 0.500 0.250
Pb: 0.500 0.500 0.750
Pb: 0.834 0.166 0.251
Pb: 0.834 0.166 0.749


[6]
The following is a GGA-PBE calculation of an optimized crystal structure of HfScP2S, from the Alexandria database.

Crystal system: tetragonal
Energy above the most stable polymorph in this dataset, kJ/mol of formula units: 0
Raw formation energy, kJ/mol of formula units: -154
Fermi-level density of states, states/eV/cell: 3.1

Cell: 4.943 4.943 4.823 Å, 90.00 90.00 90.00°
Positions (direct):
Hf: 0.000 0.000 0.000
Sc: 0.500 0.500 0.500
P: 0.000 0.500 0.000
P: 0.500 0.000 0.000
S: 0.000 0.000 0.500


[7]
The following is a GGA-PBE calculation of an optimized crystal structure of ZrTlSb2, from the Alexandria database.

Crystal system: monoclinic
Energy above the most stable polymorph in this dataset, kJ/mol of formula units: 81
Raw formation energy, kJ/mol of formula units: -28
Fermi-level density of states, states/eV/cell: 7.3

Cell: 10.690 3.372 5.893 Å, 90.00 99.93 90.00°
Positions (direct):
Zr: 0.000 0.000 0.000
Zr: 0.500 0.500 0.000
Tl: 0.000 0.500 0.500
Tl: 0.500 0.000 0.500
Sb: 0.230 0.500 0.208
Sb: 0.270 0.000 0.792
Sb: 0.730 0.000 0.208
Sb: 0.770 0.500 0.792


[8]
The following is a GGA-PBE calculation of an optimized crystal structure of Ho7SbC2, from the Alexandria database.

Crystal system: orthorhombic
Raw formation energy, kJ/mol of formula units: -59
Fermi-level density of states, states/eV/cell: 9.4

Cell: 7.512 7.512 4.746 Å, 90.00 90.00 109.43°
Positions (direct):
Ho: 0.000 0.000 0.000
Ho: 0.175 0.445 0.000
Ho: 0.206 0.794 0.500
Ho: 0.445 0.175 0.000
Ho: 0.555 0.825 0.000
Ho: 0.794 0.206 0.500
Ho: 0.825 0.555 0.000
Sb: 0.500 0.500 0.500
C: 0.211 0.789 0.000
C: 0.789 0.211 0.000


What did the eighth record say?
The following is a GGA-PBE calculation of an optimized crystal structure of Ho7SbC2, from the Alexandria database.

Crystal system: orthorhombic
Raw formation energy, kJ/mol of formula units: -59
Fermi-level density of states, states/eV/cell: 9.4

Cell: 7.512 7.512 4.746 Å, 90.00 90.00 109.43°
Positions (direct):
Ho: 0.000 0.000 0.000
Ho: 0.175 0.445 0.000
Ho: 0.206 0.794 0.500
Ho: 0.445 0.175 0.000
Ho: 0.555 0.825 0.000
Ho: 0.794 0.206 0.500
Ho: 0.825 0.555 0.000
Sb: 0.500 0.500 0.500
C: 0.211 0.789 0.000
C: 0.789 0.211 0.000